[1]
Below is a geometry-optimized RbTi3Cd structure, with properties calculated at the GGA-PBE level.

Values from the calculation:
**Offset from the most stable computed form**: 0 meV per atom
**E_form**: 1347 meV/atom
**V**: 155 Å³ per cell

Unit cell a=5.366 b=5.366 c=5.366 alpha=90.00 beta=90.00 gamma=90.00
Element x y z (fractional)
Ti: 0.500 0.000 0.000
Ti: 0.000 0.500 0.000
Ti: 0.000 0.000 0.500
Cd: 0.000 0.000 0.000
Rb: 0.500 0.500 0.500


[2]
Below is a geometry-optimized TbCePrTh structure, with properties calculated at the GGA-PBE level.

Values from the calculation:
**Offset from the most stable computed form**: 184 meV per atom
**E_form**: 229 meV/atom
**V**: 131 Å³ per cell

Unit cell a=5.696 b=5.696 c=5.696 alpha=60.00 beta=60.00 gamma=60.00
Element x y z (fractional)
Pr: 0.250 0.250 0.250
Th: 0.750 0.750 0.750
Tb: 0.000 0.000 0.000
Ce: 0.500 0.500 0.500


[3]
Below is a geometry-optimized Na3Tm3SbO8 structure, with properties calculated at the GGA-PBE level.

Values from the calculation:
**Formation energy from raw total energies**: -2.538 eV per atom
**V**: 219 Å³ per cell

Unit cell a=6.717 b=6.717 c=6.814 alpha=119.54 beta=90.00 gamma=120.00
Element x y z (fractional)
O: 0.749 0.974 0.699
O: 0.251 0.026 0.301
O: 0.225 0.450 0.699
O: 0.775 0.550 0.301
O: 0.775 0.026 0.301
O: 0.735 0.469 0.704
O: 0.265 0.531 0.296
O: 0.225 0.974 0.699
Tm: 0.500 0.000 0.500
Tm: 0.500 0.500 0.500
Tm: 0.000 0.500 0.500
Na: 0.000 0.000 0.000
Na: 0.500 0.500 0.000
Na: 0.000 0.500 0.000
Sb: 0.000 0.000 0.500


[4]
Below is a geometry-optimized PrPuO2 structure, with properties calculated at the GGA-PBE level.

Values from the calculation:
**Offset from the most stable computed form**: 151 meV per atom
**Formation energy from raw total energies**: -2.446 eV per atom
**V**: 65 Å³ per cell

Unit cell a=3.489 b=3.489 c=6.489 alpha=74.41 beta=74.41 gamma=60.00
Element x y z (fractional)
O: 0.077 0.077 0.769
O: 0.256 0.256 0.233
Pr: 0.496 0.496 0.512
Pu: 0.671 0.671 0.986


[5]
Below is a geometry-optimized MgNiAuSe structure, with properties calculated at the GGA-PBE level.

Values from the calculation:
**Offset from the most stable computed form**: 0 meV per atom
**Formation energy from raw total energies**: -0.350 eV per atom
**V**: 74 Å³ per cell

Unit cell a=3.787 b=3.787 c=5.953 alpha=90.00 beta=90.00 gamma=120.00
Element x y z (fractional)
Ni: 0.333 0.667 0.293
Se: 0.667 0.333 0.147
Mg: 0.333 0.667 0.831
Au: 0.000 0.000 0.557


[6]
Below is a geometry-optimized Dy2TlSb structure, with properties calculated at the GGA-PBE level.

Values from the calculation:
**Offset from the most stable computed form**: 141 meV per atom
**Formation energy from raw total energies**: -0.574 eV per atom
**V**: 122 Å³ per cell

Unit cell a=4.131 b=4.131 c=8.620 alpha=76.14 beta=76.14 gamma=60.00
Element x y z (fractional)
Dy: 0.257 0.257 0.228
Dy: 0.075 0.075 0.774
Tl: 0.499 0.499 0.502
Sb: 0.668 0.668 0.997


[7]
Below is a geometry-optimized BaSrRuN2 structure, with properties calculated at the GGA-PBE level.

Values from the calculation:
**Formation energy from raw total energies**: -0.271 eV per atom
**V**: 245 Å³ per cell

Unit cell a=5.369 b=5.977 c=7.626 alpha=89.97 beta=90.00 gamma=90.00
Element x y z (fractional)
Ba: 0.000 0.500 0.250
Ba: 0.000 0.500 0.750
Sr: 0.500 0.000 0.250
Sr: 0.500 0.000 0.750
Ru: 0.000 0.000 0.000
Ru: 0.000 0.000 0.500
N: 0.237 0.219 0.000
N: 0.763 0.219 0.500
N: 0.763 0.781 0.000
N: 0.237 0.781 0.500


[8]
Below is a geometry-optimized Na2Ac structure, with properties calculated at the GGA-PBE level.

Values from the calculation:
**Offset from the most stable computed form**: 0 meV per atom
**E_form**: 93 meV/atom
**V**: 123 Å³ per cell

Unit cell a=3.824 b=3.833 c=9.976 alpha=78.87 beta=78.62 gamma=59.87
Element x y z (fractional)
Na: 0.069 0.798 0.220
Na: 0.495 0.252 0.886
Ac: 0.281 0.026 0.553


[9]
Below is a geometry-optimized AlCu2Re structure, with properties calculated at the GGA-PBE level.

Values from the calculation:
**E_form**: 163 meV/atom
**V**: 53 Å³ per cell

Unit cell a=4.637 b=4.637 c=4.637 alpha=132.37 beta=132.37 gamma=69.64
Element x y z (fractional)
Cu: 0.250 0.750 0.500
Cu: 0.000 0.000 0.000
Al: 0.750 0.250 0.500
Re: 0.500 0.500 0.000


[10]
Below is a geometry-optimized SrReH3 structure, with properties calculated at the GGA-PBE level.

Values from the calculation:
**Offset from the most stable computed form**: 1575 meV per atom
**V**: 65 Å³ per cell

Unit cell a=4.012 b=4.012 c=4.012 alpha=90.00 beta=90.00 gamma=90.00
Element x y z (fractional)
H: 0.500 0.000 0.000
H: 0.000 0.000 0.500
H: 0.000 0.500 0.000
Sr: 0.000 0.000 0.000
Re: 0.500 0.500 0.500


[11]
Below is a geometry-optimized ZnSn2RuN structure, with properties calculated at the GGA-PBE level.

Values from the calculation:
**Formation energy from raw total energies**: 0.436 eV per atom
**V**: 99 Å³ per cell

Unit cell a=5.108 b=3.800 c=5.108 alpha=90.00 beta=90.00 gamma=90.00
Element x y z (fractional)
Zn: 0.500 0.500 0.500
Sn: 0.500 0.000 0.000
Sn: 0.000 0.000 0.500
N: 0.000 0.000 0.000
Ru: 0.000 0.500 0.000


[12]
Below is a geometry-optimized CeDy2HoTl4 structure, with properties calculated at the GGA-PBE level.

Values from the calculation:
**E_form**: -302 meV/atom
**V**: 223 Å³ per cell

Unit cell a=5.393 b=5.393 c=9.403 alpha=73.34 beta=73.34 gamma=60.00
Element x y z (fractional)
Tl: 0.123 0.123 0.630
Tl: 0.626 0.626 0.121
Tl: 0.877 0.877 0.370
Tl: 0.374 0.374 0.879
Dy: 0.749 0.749 0.752
Dy: 0.251 0.251 0.248
Ce: 0.500 0.500 0.500
Ho: 0.000 0.000 0.000


[13]
Below is a geometry-optimized K10Au2O3 structure, with properties calculated at the GGA-PBE level.

Values from the calculation:
**Formation energy from raw total energies**: -0.687 eV per atom
**V**: 978 Å³ per cell

Unit cell a=7.916 b=10.770 c=13.010 alpha=111.18 beta=107.71 gamma=90.00
Element x y z (fractional)
Au: 0.276 0.707 0.552
Au: 0.724 0.293 0.448
Au: 0.621 0.736 0.241
Au: 0.379 0.264 0.759
K: 0.234 0.257 0.468
K: 0.000 0.000 0.500
K: 0.618 0.526 0.702
K: 0.084 0.526 0.702
K: 0.857 0.023 0.221
K: 0.500 0.000 0.500
K: 0.484 0.831 0.967
K: 0.364 0.023 0.221
K: 0.216 0.500 0.000
K: 0.784 0.500 0.000
K: 0.636 0.977 0.779
K: 0.516 0.169 0.033
K: 0.143 0.977 0.779
K: 0.138 0.744 0.276
K: 0.976 0.821 0.952
K: 0.916 0.474 0.298
K: 0.766 0.743 0.532
K: 0.382 0.474 0.298
K: 0.024 0.179 0.048
K: 0.862 0.256 0.724
O: 0.253 0.000 0.000
O: 0.075 0.464 0.150
O: 0.925 0.536 0.850
O: 0.825 0.993 0.649
O: 0.747 0.000 0.000
O: 0.175 0.007 0.351


[14]
Below is a geometry-optimized NdIn2Ag structure, with properties calculated at the GGA-PBE level.

Values from the calculation:
**E_form**: -333 meV/atom
**V**: 417 Å³ per cell

Unit cell a=4.810 b=10.005 c=10.284 alpha=119.11 beta=103.53 gamma=90.00
Element x y z (fractional)
In: 0.687 0.337 0.375
In: 0.313 0.962 0.625
In: 0.079 0.579 0.158
In: 0.687 0.038 0.375
In: 0.313 0.663 0.625
In: 0.084 0.084 0.167
In: 0.921 0.421 0.842
In: 0.916 0.916 0.833
Ag: 0.149 0.410 0.299
Ag: 0.851 0.111 0.701
Ag: 0.149 0.889 0.299
Ag: 0.851 0.590 0.701
Nd: 0.707 0.707 0.414
Nd: 0.500 0.293 0.000
Nd: 0.500 0.707 0.000
Nd: 0.293 0.293 0.586


[15]
Below is a geometry-optimized NbTe2Br structure, with properties calculated at the GGA-PBE level.

Values from the calculation:
**Offset from the most stable computed form**: 594 meV per atom
**Formation energy from raw total energies**: 0.291 eV per atom
**V**: 95 Å³ per cell

Unit cell a=5.125 b=5.125 c=5.125 alpha=60.00 beta=60.00 gamma=60.00
Element x y z (fractional)
Nb: 0.500 0.500 0.500
Te: 0.750 0.750 0.750
Te: 0.250 0.250 0.250
Br: 0.000 0.000 0.000


[16]
Below is a geometry-optimized Ac5MgTl6 structure, with properties calculated at the GGA-PBE level.

Values from the calculation:
**E_form**: -307 meV/atom
**V**: 406 Å³ per cell

Unit cell a=5.694 b=10.028 c=10.028 alpha=120.29 beta=106.49 gamma=106.49
Element x y z (fractional)
Tl: 0.743 0.242 0.242
Tl: 0.760 0.601 0.917
Tl: 0.760 0.917 0.601
Tl: 0.240 0.399 0.083
Tl: 0.257 0.758 0.758
Tl: 0.240 0.083 0.399
Ac: 0.500 0.841 0.159
Ac: 0.000 0.329 0.671
Ac: 0.500 0.159 0.841
Ac: 0.000 0.671 0.329
Ac: 0.500 0.500 0.500
Mg: 0.000 0.000 0.000


[17]
Below is a geometry-optimized TaTeRh2 structure, with properties calculated at the GGA-PBE level.

Values from the calculation:
**Formation energy from raw total energies**: -0.012 eV per atom
**V**: 68 Å³ per cell

Unit cell a=4.574 b=4.574 c=4.574 alpha=60.00 beta=60.00 gamma=60.00
Element x y z (fractional)
Rh: 0.000 0.000 0.000
Rh: 0.750 0.750 0.750
Te: 0.250 0.250 0.250
Ta: 0.500 0.500 0.500


[18]
Below is a geometry-optimized LuZnNi structure, with properties calculated at the GGA-PBE level.

Values from the calculation:
**E_form**: -293 meV/atom
**V**: 58 Å³ per cell

Unit cell a=4.334 b=4.334 c=4.334 alpha=60.00 beta=60.00 gamma=60.00
Element x y z (fractional)
Zn: 0.500 0.500 0.500
Ni: 0.250 0.250 0.250
Lu: 0.000 0.000 0.000


[19]
Below is a geometry-optimized Pr6DyEr2 structure, with properties calculated at the GGA-PBE level.

Values from the calculation:
**Offset from the most stable computed form**: 58 meV per atom
**E_form**: 139 meV/atom
**V**: 628 Å³ per cell

Unit cell a=9.088 b=13.350 c=13.350 alpha=39.70 beta=41.62 gamma=41.62
Element x y z (fractional)
Er: 0.216 0.147 0.298
Er: 0.284 0.702 0.853
Er: 0.784 0.853 0.702
Er: 0.716 0.298 0.147
Pr: 0.324 0.699 0.098
Pr: 0.676 0.301 0.902
Pr: 0.276 0.095 0.635
Pr: 0.556 0.325 0.458
Pr: 0.724 0.905 0.365
Pr: 0.824 0.098 0.699
Pr: 0.944 0.542 0.675
Pr: 0.176 0.902 0.301
Pr: 0.056 0.458 0.325
Pr: 0.444 0.675 0.542
Pr: 0.776 0.635 0.095
Pr: 0.224 0.365 0.905
Dy: 0.750 0.910 0.090
Dy: 0.250 0.090 0.910


[20]
Below is a geometry-optimized Mn4NbCr structure, with properties calculated at the GGA-PBE level.

Values from the calculation:
**Offset from the most stable computed form**: 162 meV per atom
**E_form**: 164 meV/atom
**V**: 152 Å³ per cell

Unit cell a=3.980 b=6.479 c=5.883 alpha=90.00 beta=90.00 gamma=90.00
Element x y z (fractional)
Mn: 0.500 0.043 0.250
Mn: 0.500 0.326 0.536
Mn: 0.000 0.000 0.000
Mn: 0.500 0.957 0.750
Mn: 0.500 0.326 0.964
Mn: 0.500 0.674 0.464
Mn: 0.000 0.000 0.500
Mn: 0.500 0.674 0.036
Cr: 0.000 0.747 0.250
Cr: 0.000 0.253 0.750
Nb: 0.000 0.366 0.250
Nb: 0.000 0.634 0.750


no.,magnetization (μB/cell)
1,7.1
2,1.8
3,0.0
4,5.2
5,0.0
6,0.0
7,0.0
8,0.0
9,0.0
10,0.0
11,0.0
12,1.0
13,0.0
14,0.0
15,0.9
16,0.0
17,0.0
18,0.0
19,0.0
20,3.9